A plane-wave DFT calculation with PBE-GGA was carried out for BaLuTlAg after structural relaxation.

- space-group type = F-43m (216)
- magnetic moment (μB per atom) = 0.00
- E (eV/f.u.) = -12.2
- crystal system = cubic
- energy relative to the elements (eV per atom) = -0.14

```
BaLuTlAg
1.0
-1.2564 1.1411 5.2965
-5.3183 0.2026 1.6149
-2.0611 -3.9831 3.2894
Ba Ag Lu Tl
1 1 1 1
Direct
0.5000 0.5000 0.5000
0.2500 0.2500 0.2500
0.0000 0.0000 0.0000
0.7500 0.7500 0.7500
```